[1]
The following is a DFT calculation (GGA-PBE) of a relaxed BeFe2Se crystal.

```
BeFe2Se
1.0
1.664 0.960 5.474
-1.664 0.960 5.474
0.000 -1.921 5.474
Be Fe Se
1 2 1
Cartesian
0.000 0.000 0.000
0.000 0.000 4.480
0.000 0.000 11.940
0.000 0.000 8.210
```

Calculated values
Uncorrected formation energy (eV/f.u.): 1.02
E (eV per atom): -5.780
Spin magnetization (μB per cell): 4.5
Theoretical density (kg/m3): 6318

=====

[2]
The following is a DFT calculation (GGA-PBE) of a relaxed K2ErUSe6 crystal.

```
K2ErUSe6
1.0
7.687 0.000 0.000
0.000 7.692 0.000
-7.683 0.000 10.888
K Er U Se
4 2 2 12
Cartesian
-0.011 0.049 2.721
-3.853 3.797 8.166
3.857 3.895 2.723
0.015 7.643 8.167
-3.842 0.000 5.444
0.000 3.846 0.000
3.844 0.000 0.000
0.002 3.846 5.444
-5.842 1.765 10.797
-2.000 2.081 5.353
-5.603 5.688 10.801
-1.761 5.849 5.357
-3.716 0.006 8.221
0.125 3.839 2.777
-0.121 3.852 8.112
3.721 7.685 2.668
1.766 1.842 5.531
5.607 2.003 0.087
2.005 5.610 5.535
5.846 5.927 0.091
```

Calculated values
Uncorrected formation energy (eV/f.u.): -12.06
E (eV per atom): -5.102
Spin magnetization (μB per cell): 0.0
Theoretical density (kg/m3): 4938

=====

[3]
The following is a DFT calculation (GGA-PBE) of a relaxed Ca2VTe crystal.

```
Ca2VTe
1.0
-4.242 4.242 3.473
4.242 -4.242 3.473
4.242 4.242 -3.473
Ca V Te
4 2 2
Cartesian
6.362 2.041 -0.868
2.041 2.121 0.868
-2.121 2.201 2.605
2.201 2.121 4.342
4.242 0.000 1.737
0.000 0.000 3.473
0.000 0.000 0.000
0.000 4.242 1.737
```

Calculated values
Uncorrected formation energy (eV/f.u.): 0.46
E (eV per atom): -3.951
Spin magnetization (μB per cell): 8.9
Theoretical density (kg/m3): 3437

=====

[4]
The following is a DFT calculation (GGA-PBE) of a relaxed SmScZn2 crystal.

```
SmScZn2
1.0
3.458 0.000 0.000
0.000 3.458 0.000
0.000 0.000 7.145
Sm Sc Zn
1 1 2
Cartesian
0.000 0.000 0.000
0.000 0.000 3.573
1.729 1.729 2.032
1.729 1.729 5.113
```

Calculated values
E (eV per atom): -3.730
Spin magnetization (μB per cell): 0.0
Energy above the lowest structure with this stoichiometry (meV per atom): 0.0
Theoretical density (kg/m3): 6338
E_form (eV/atom): -0.33